(1)
Computed, not measured: a relaxed MnZnHg2Ge crystal at the PBE level of DFT.

Values from the calculation:
For the density of states at the Fermi level, the calculation gives 0.7098 states/eV/atom. The energy of formation is 450 meV per atom. The space group is P4/mmm (123).

a b c (Å): 5.261 4.595 5.261
angles (deg): 90.00 90.00 90.00
Element x y z (fractional)
Hg1 0.000 0.000 0.500
Ge1 0.000 0.500 0.000
Zn1 0.500 0.500 0.500
Hg2 0.500 0.000 0.000
Mn1 0.000 0.000 0.000


(2)
Computed, not measured: a relaxed LiReRh2 crystal at the PBE level of DFT.

Values from the calculation:
For the density of states at the Fermi level, the calculation gives 1.2021 states/eV/atom. The energy of formation is 246 meV per atom. The space group is Pmmm (47).

a b c (Å): 2.752 4.584 4.417
angles (deg): 90.00 90.00 90.00
Element x y z (fractional)
Li1 0.500 0.000 0.500
Rh1 0.500 0.500 0.000
Re1 0.000 0.500 0.500
Rh2 0.000 0.000 0.000


What is the energy of formation in the first record? 450 meV per atom


Repeat the second record exactly.
Computed, not measured: a relaxed LiReRh2 crystal at the PBE level of DFT.

Values from the calculation:
For the density of states at the Fermi level, the calculation gives 1.2021 states/eV/atom. The energy of formation is 246 meV per atom. The space group is Pmmm (47).

a b c (Å): 2.752 4.584 4.417
angles (deg): 90.00 90.00 90.00
Element x y z (fractional)
Li1 0.500 0.000 0.500
Rh1 0.500 0.500 0.000
Re1 0.000 0.500 0.500
Rh2 0.000 0.000 0.000


The lowest energy of formation belongs to which entry? LiReRh2


Look up the energy of formation of the first one. 450 meV per atom